No. 1
# PBE AlNi2Rh, optimized geometry
data_AlNi2Rh
_chemical_formula_sum 'Al2 Ni4 Rh2'
_space_group_name_H-M_alt 'C 1 m 1'
_space_group_IT_number 8
_cell_length_a 8.528
_cell_length_b 2.723
_cell_length_c 4.401
_cell_angle_alpha 90.00
_cell_angle_beta 103.60
_cell_angle_gamma 90.00
loop_
_space_group_symop_operation_xyz
'x,y,z'
'x,-y,z'
'x+1/2,y+1/2,z'
'x+1/2,-y+1/2,z'
loop_
_atom_site_label
_atom_site_type_symbol
_atom_site_fract_x
_atom_site_fract_y
_atom_site_fract_z
_atom_site_occupancy
Al1 Al 0.000 0.000 0.000 1
Ni1 Ni 0.243 0.500 0.263 1
Ni2 Ni 0.492 0.000 0.479 1
Rh1 Rh 0.250 0.000 0.760 1
# Total DFT energy (no corrections): -6.043 eV per atom

=====

No. 2
# PBE YMg2Br, optimized geometry
data_YMg2Br
_chemical_formula_sum 'Y2 Mg4 Br2'
_space_group_name_H-M_alt 'I 4/m m m'
_space_group_IT_number 139
_space_group_name_Hall '-I 4 2'
_cell_length_a 4.214
_cell_length_b 4.214
_cell_length_c 11.577
_cell_angle_alpha 90.00
_cell_angle_beta 90.00
_cell_angle_gamma 90.00
loop_
_atom_site_label
_atom_site_type_symbol
_atom_site_fract_x
_atom_site_fract_y
_atom_site_fract_z
_atom_site_occupancy
Y1 Y 0.000 0.000 0.000 1
Mg1 Mg 0.000 0.500 0.250 1
Br1 Br 0.000 0.000 0.500 1
# Distance to the lowest polymorph of the same formula: 131 meV per atom
# Energy relative to the elements, uncorrected: -1.20 eV/f.u.

=====

No. 3
# PBE La2PrGa2, optimized geometry
data_La2PrGa2
_chemical_formula_sum 'La4 Pr2 Ga4'
_space_group_name_H-M_alt 'P 1 21/m 1'
_space_group_IT_number 11
_cell_length_a 6.105
_cell_length_b 4.116
_cell_length_c 12.675
_cell_angle_alpha 90.00
_cell_angle_beta 99.90
_cell_angle_gamma 90.00
loop_
_space_group_symop_operation_xyz
'x,y,z'
'-x,-y,-z'
'-x,y+1/2,-z'
'x,-y+1/2,z'
loop_
_atom_site_label
_atom_site_type_symbol
_atom_site_fract_x
_atom_site_fract_y
_atom_site_fract_z
_atom_site_occupancy
La1 La 0.078 0.250 0.369 1
La2 La 0.230 0.750 0.936 1
Pr1 Pr 0.468 0.250 0.710 1
Ga1 Ga 0.294 0.250 0.132 1
Ga2 Ga 0.370 0.750 0.520 1
# Distance to the lowest polymorph of the same formula: 117 meV per atom

=====

No. 4
# PBE KPdI3, optimized geometry
data_KPdI3
_chemical_formula_sum 'K1 Pd1 I3'
_space_group_name_H-M_alt 'P m -3 m'
_space_group_IT_number 221
_space_group_name_Hall '-P 4 2 3'
_cell_length_a 6.515
_cell_length_b 6.515
_cell_length_c 6.515
_cell_angle_alpha 90.00
_cell_angle_beta 90.00
_cell_angle_gamma 90.00
loop_
_atom_site_label
_atom_site_type_symbol
_atom_site_fract_x
_atom_site_fract_y
_atom_site_fract_z
_atom_site_occupancy
K1 K 0.000 0.000 0.000 1
Pd1 Pd 0.500 0.500 0.500 1
I1 I 0.000 0.000 0.500 1
# Energy relative to the elements, uncorrected: 1.92 eV/f.u.

=====

No. 5
# PBE Hf2Tl2Cd, optimized geometry
data_Hf2Tl2Cd
_chemical_formula_sum 'Hf4 Tl4 Cd2'
_space_group_name_H-M_alt 'P 4/m b m'
_space_group_IT_number 127
_space_group_name_Hall '-P 4 2ab'
_cell_length_a 8.539
_cell_length_b 8.539
_cell_length_c 3.356
_cell_angle_alpha 90.00
_cell_angle_beta 90.00
_cell_angle_gamma 90.00
loop_
_atom_site_label
_atom_site_type_symbol
_atom_site_fract_x
_atom_site_fract_y
_atom_site_fract_z
_atom_site_occupancy
Hf1 Hf 0.124 0.376 0.000 1
Tl1 Tl 0.176 0.676 0.500 1
Cd1 Cd 0.000 0.000 0.000 1
# Distance to the lowest polymorph of the same formula: 0 meV per atom

=====

No. 6
# PBE Ba5Ge2As6, optimized geometry
data_Ba5Ge2As6
_chemical_formula_sum 'Ba10 Ge4 As12'
_space_group_name_H-M_alt 'P b a m'
_space_group_IT_number 55
_cell_length_a 12.629
_cell_length_b 15.258
_cell_length_c 4.374
_cell_angle_alpha 90.00
_cell_angle_beta 90.00
_cell_angle_gamma 90.00
loop_
_space_group_symop_operation_xyz
'x,y,z'
'-x,-y,-z'
'-x,-y,z'
'x,y,-z'
'x+1/2,-y+1/2,-z'
'-x+1/2,y+1/2,z'
'-x+1/2,y+1/2,-z'
'x+1/2,-y+1/2,z'
loop_
_atom_site_label
_atom_site_type_symbol
_atom_site_fract_x
_atom_site_fract_y
_atom_site_fract_z
_atom_site_occupancy
Ba1 Ba 0.000 0.000 0.000 1
Ba2 Ba 0.072 0.253 0.000 1
Ba3 Ba 0.171 0.502 0.000 1
Ge1 Ge 0.175 0.708 0.500 1
As1 As 0.020 0.601 0.500 1
As2 As 0.163 0.104 0.500 1
As3 As 0.177 0.811 0.000 1
# Total DFT energy (no corrections): -4.410 eV per atom

=====

No. 7
# PBE In2CuHgSb, optimized geometry
data_In2CuHgSb
_chemical_formula_sum 'In2 Cu1 Hg1 Sb1'
_space_group_name_H-M_alt 'P 4/m m m'
_space_group_IT_number 123
_space_group_name_Hall '-P 4 2'
_cell_length_a 5.233
_cell_length_b 5.233
_cell_length_c 5.051
_cell_angle_alpha 90.00
_cell_angle_beta 90.00
_cell_angle_gamma 90.00
loop_
_atom_site_label
_atom_site_type_symbol
_atom_site_fract_x
_atom_site_fract_y
_atom_site_fract_z
_atom_site_occupancy
In1 In 0.000 0.500 0.000 1
Cu1 Cu 0.000 0.000 0.000 1
Hg1 Hg 0.500 0.500 0.500 1
Sb1 Sb 0.000 0.000 0.500 1
# Energy relative to the elements, uncorrected: 0.88 eV/f.u.

=====

No. 8
# PBE CsTmP2O7, optimized geometry
data_CsTmP2O7
_chemical_formula_sum 'Cs4 Tm4 P8 O28'
_space_group_name_H-M_alt 'P 1 21/c 1'
_space_group_IT_number 14
_cell_length_a 8.021
_cell_length_b 10.896
_cell_length_c 8.846
_cell_angle_alpha 90.00
_cell_angle_beta 104.82
_cell_angle_gamma 90.00
loop_
_space_group_symop_operation_xyz
'x,y,z'
'-x,-y,-z'
'-x,y+1/2,-z+1/2'
'x,-y+1/2,z+1/2'
loop_
_atom_site_label
_atom_site_type_symbol
_atom_site_fract_x
_atom_site_fract_y
_atom_site_fract_z
_atom_site_occupancy
Cs1 Cs 0.197 0.191 0.055 1
Tm1 Tm 0.238 0.601 0.254 1
P1 P 0.129 0.597 0.824 1
P2 P 0.423 0.627 0.683 1
O1 O 0.004 0.004 0.767 1
O2 O 0.086 0.728 0.761 1
O3 O 0.155 0.587 0.999 1
O4 O 0.312 0.557 0.789 1
O5 O 0.326 0.604 0.513 1
O6 O 0.400 0.066 0.770 1
O7 O 0.436 0.737 0.230 1
# Energy relative to the elements, uncorrected: -29.99 eV/f.u.